1.
The following is a PBE calculation of a relaxed Tb2AgP3Rh12 crystal, from Alexandria.

```
Tb2AgP3Rh12
1.0
4.4511 2.5698 4.2863
-4.4511 2.5698 4.2863
0.0000 -5.1397 4.2863
Tb Ag P Rh
2 1 3 12
Direct
0.1255 0.1255 0.1255
0.8745 0.8745 0.8745
0.5000 0.5000 0.5000
0.0000 0.5000 0.5000
0.5000 0.0000 0.5000
0.5000 0.5000 0.0000
0.1319 0.1319 0.5925
0.1319 0.5925 0.1319
0.1641 0.6758 0.6758
0.3242 0.3242 0.8359
0.3242 0.8359 0.3242
0.4075 0.8681 0.8681
0.5925 0.1319 0.1319
0.6758 0.1641 0.6758
0.6758 0.6758 0.1641
0.8359 0.3242 0.3242
0.8681 0.4075 0.8681
0.8681 0.8681 0.4075
```

Summary:
Electronic total energy ... -6.6844 eV/atom
Space group ... R-3m (166)
Calculated formation energy ... -209 meV/atom

2.
The following is a PBE calculation of a relaxed ThAgP2Rh5 crystal, from Alexandria.

```
ThAgP2Rh5
1.0
4.1164 0.0000 0.0000
0.0000 4.1164 0.0000
0.0000 0.0000 8.6883
Th Ag P Rh
1 1 2 5
Direct
0.0000 0.0000 0.0000
0.0000 0.0000 0.5000
0.5000 0.5000 0.3689
0.5000 0.5000 0.6311
0.0000 0.5000 0.2517
0.0000 0.5000 0.7483
0.5000 0.0000 0.2517
0.5000 0.0000 0.7483
0.5000 0.5000 0.0000
```

Summary:
Electronic total energy ... -7.0990 eV/atom
Space group ... P4/mmm (123)
Calculated formation energy ... -671 meV/atom

3.
The following is a PBE calculation of a relaxed AgPRu crystal, from Alexandria.

```
AgPRu
1.0
2.9417 0.0000 0.0000
-1.4709 2.5476 0.0000
0.0000 0.0000 6.4507
Ag P Ru
1 1 1
Direct
0.0000 0.0000 0.0000
0.6667 0.3333 0.3855
0.3333 0.6667 0.6244
```

Summary:
Electronic total energy ... -5.8168 eV/atom
Energy relative to the lowest polymorph listed for this composition ... 325 meV per atom
Space group ... P3m1 (156)
Calculated formation energy ... 29 meV/atom

4.
The following is a PBE calculation of a relaxed AgP2Ru crystal, from Alexandria.

```
AgP2Ru
1.0
-1.8481 1.8481 4.3087
1.8481 -1.8481 4.3087
1.8481 1.8481 -4.3087
Ag P Ru
1 2 1
Direct
0.0000 0.0000 0.0000
0.2500 0.7500 0.5000
0.5000 0.5000 0.0000
0.7500 0.2500 0.5000
```

Summary:
Electronic total energy ... -5.3272 eV/atom
Energy relative to the lowest polymorph listed for this composition ... 442 meV per atom
Space group ... I-4m2 (119)
Calculated formation energy ... 410 meV/atom

5.
The following is a PBE calculation of a relaxed AgPRu crystal, from Alexandria.

```
AgPRu
1.0
3.8085 0.0000 0.0000
-1.9042 3.2983 0.0000
0.0000 0.0000 3.8982
Ag P Ru
1 1 1
Direct
0.0000 0.0000 0.0000
0.3333 0.6667 0.4149
0.6667 0.3333 0.5203
```

Summary:
Electronic total energy ... -5.8873 eV/atom
Energy relative to the lowest polymorph listed for this composition ... 254 meV per atom
Space group ... P3m1 (156)
Calculated formation energy ... -42 meV/atom

6.
The following is a PBE calculation of a relaxed AgP2Ru crystal, from Alexandria.

```
AgP2Ru
1.0
-2.8254 2.8254 5.1310
2.8254 -2.8254 5.1310
2.8254 2.8254 -5.1310
Ag P Ru
2 4 2
Direct
0.0000 0.0000 0.0000
0.7500 0.2500 0.5000
0.1690 0.6250 0.0440
0.3750 0.4190 0.5440
0.5810 0.1250 0.9560
0.8750 0.8310 0.4560
0.2500 0.7500 0.5000
0.5000 0.5000 0.0000
```

Summary:
Electronic total energy ... -5.6755 eV/atom
Energy relative to the lowest polymorph listed for this composition ... 94 meV per atom
Space group ... I-42d (122)
Calculated formation energy ... 61 meV/atom

7.
The following is a PBE calculation of a relaxed AgP2Ru crystal, from Alexandria.

```
AgP2Ru
1.0
3.9904 -1.4589 0.0000
3.9904 1.4589 0.0000
-1.5264 0.0000 5.8124
Ag P Ru
1 2 1
Direct
0.0000 0.0000 0.0000
0.2175 0.2175 0.7500
0.3873 0.3873 0.3481
0.6873 0.6873 0.4391
```

Summary:
Electronic total energy ... -5.7693 eV/atom
Energy relative to the lowest polymorph listed for this composition ... 0 meV per atom
Space group ... Cm (8)
Calculated formation energy ... -33 meV/atom

8.
The following is a PBE calculation of a relaxed AgP2Ru crystal, from Alexandria.

```
AgP2Ru
1.0
-1.4056 2.3982 5.2167
1.4056 -2.3982 5.2167
1.4056 2.3982 -5.2167
Ag P Ru
1 2 1
Direct
0.0000 0.0000 0.0000
0.3189 0.8189 0.5000
0.6811 0.1811 0.5000
0.5000 0.5000 0.0000
```

Summary:
Electronic total energy ... -5.4417 eV/atom
Energy relative to the lowest polymorph listed for this composition ... 328 meV per atom
Space group ... Immm (71)
Calculated formation energy ... 295 meV/atom

9.
The following is a PBE calculation of a relaxed AgP2Ru crystal, from Alexandria.

```
AgP2Ru
1.0
3.0338 0.0000 0.0000
0.0000 3.0338 0.0000
0.0000 0.0000 6.7674
Ag P Ru
1 2 1
Direct
0.0000 0.0000 0.0000
0.0000 0.0000 0.5332
0.5000 0.5000 0.3328
0.5000 0.5000 0.6947
```

Summary:
Electronic total energy ... -5.5319 eV/atom
Energy relative to the lowest polymorph listed for this composition ... 237 meV per atom
Space group ... P4mm (99)
Calculated formation energy ... 205 meV/atom

10.
The following is a PBE calculation of a relaxed AgPRu crystal, from Alexandria.

```
AgPRu
1.0
4.0155 0.0000 0.0000
0.0000 4.0155 0.0000
0.0000 0.0000 5.9371
Ag P Ru
2 2 2
Direct
0.2500 0.2500 0.1218
0.7500 0.7500 0.8782
0.2500 0.2500 0.7052
0.7500 0.7500 0.2948
0.2500 0.7500 0.5000
0.7500 0.2500 0.5000
```

Summary:
Electronic total energy ... -6.1413 eV/atom
Energy relative to the lowest polymorph listed for this composition ... 0 meV per atom
Space group ... P4/nmm (129)
Calculated formation energy ... -296 meV/atom

11.
The following is a PBE calculation of a relaxed AgP2Ru crystal, from Alexandria.

```
AgP2Ru
1.0
1.4448 -2.5056 0.0000
1.4448 2.5056 0.0000
0.0000 0.0000 8.6383
Ag P Ru
1 2 1
Direct
0.0000 0.0000 0.0000
0.5000 0.5000 0.2788
0.5000 0.5000 0.7212
0.0000 0.0000 0.5000
```

Summary:
Electronic total energy ... -5.4266 eV/atom
Energy relative to the lowest polymorph listed for this composition ... 343 meV per atom
Space group ... Cmmm (65)
Calculated formation energy ... 310 meV/atom

12.
The following is a PBE calculation of a relaxed AgPRu crystal, from Alexandria.

```
AgPRu
1.0
0.0000 2.8700 2.8700
2.8700 0.0000 2.8700
2.8700 2.8700 0.0000
Ag P Ru
1 1 1
Direct
0.0000 0.0000 0.0000
0.2500 0.2500 0.2500
0.5000 0.5000 0.5000
```

Summary:
Electronic total energy ... -5.7507 eV/atom
Energy relative to the lowest polymorph listed for this composition ... 391 meV per atom
Space group ... F-43m (216)
Calculated formation energy ... 95 meV/atom

13.
The following is a PBE calculation of a relaxed Ag2PRu2 crystal, from Alexandria.

```
Ag2PRu2
1.0
5.9200 0.0000 0.0000
0.0000 5.9200 0.0000
0.0000 0.0000 4.6473
Ag P Ru
4 2 4
Direct
0.1682 0.3318 0.0000
0.3318 0.8318 0.0000
0.6682 0.1682 0.0000
0.8318 0.6682 0.0000
0.0000 0.0000 0.5000
0.5000 0.5000 0.5000
0.1487 0.6487 0.5000
0.3513 0.1487 0.5000
0.6487 0.8513 0.5000
0.8513 0.3513 0.5000
```

Summary:
Electronic total energy ... -5.8856 eV/atom
Space group ... P4/mbm (127)
Calculated formation energy ... 47 meV/atom

14.
The following is a PBE calculation of a relaxed AgP2Ru crystal, from Alexandria.

```
AgP2Ru
1.0
3.1605 0.0000 0.0000
0.0000 3.9000 0.0000
0.0000 0.0000 4.9681
Ag P Ru
1 2 1
Direct
0.0000 0.0000 0.0000
0.0000 0.5000 0.5000
0.5000 0.5000 0.0000
0.5000 0.0000 0.5000
```

Summary:
Electronic total energy ... -5.2173 eV/atom
Energy relative to the lowest polymorph listed for this composition ... 552 meV per atom
Space group ... Pmmm (47)
Calculated formation energy ... 519 meV/atom